# KCd2Se, relaxed, DFT PBE-GGA
# Mass density ... 5.1 Mg/m³
# E_form (uncorrected) ... -0.3334 eV per atom
# Total magnetization ... 0.000 μB per cell
# Crystal system ... orthorhombic
data_KCd2Se
_chemical_formula_sum 'K1 Cd2 Se1'
_symmetry_space_group_name_H-M 'P 1'
_symmetry_Int_Tables_number 1
_symmetry_space_group_name_Hall 'P 1'
_cell_length_a 6.823
_cell_length_b 6.823
_cell_length_c 5.362
_cell_angle_alpha 66.86
_cell_angle_beta 66.86
_cell_angle_gamma 29.22
loop_
_atom_site_label
_atom_site_fract_x
_atom_site_fract_y
_atom_site_fract_z
Cd1 0.957 0.957 0.043
Cd2 0.543 0.543 0.457
K1 0.750 0.750 0.750
Se1 0.250 0.250 0.250